Record 1
A plane-wave DFT calculation with PBE was carried out for a geometry-optimized Li4DySc3Se8 structure.

Structure (CIF):
```
data_Li4DySc3Se8
_chemical_formula_sum 'Li12 Dy3 Sc9 Se24'
_cell_length_a 7.8366
_cell_length_b 7.8366
_cell_length_c 19.3212
_cell_angle_alpha 90.00
_cell_angle_beta 90.00
_cell_angle_gamma 120.00
_symmetry_space_group_name_H-M 'R -3 m'
_symmetry_Int_Tables_number 166
_symmetry_space_group_name_Hall '-R 3 2"'
loop_
_atom_site_label
_atom_site_fract_x
_atom_site_fract_y
_atom_site_fract_z
Li1 0.0000 0.0000 0.0000
Li2 0.0000 0.5000 0.0000
Dy1 0.0000 0.0000 0.5000
Sc1 0.0000 0.5000 0.5000
Se1 0.0000 0.0000 0.2469
Se2 0.0108 0.5054 0.7511
```

Properties
Its formation energy from raw total energies is -25.846 eV/f.u.


Record 2
A plane-wave DFT calculation with PBE was carried out for a geometry-optimized Li3DySc4Se8 structure.

Structure (CIF):
```
data_Li3DySc4Se8
_chemical_formula_sum 'Li9 Dy3 Sc12 Se24'
_cell_length_a 7.7673
_cell_length_b 7.7673
_cell_length_c 19.4166
_cell_angle_alpha 90.00
_cell_angle_beta 90.00
_cell_angle_gamma 120.00
_symmetry_space_group_name_H-M 'R -3 m'
_symmetry_Int_Tables_number 166
_symmetry_space_group_name_Hall '-R 3 2"'
loop_
_atom_site_label
_atom_site_fract_x
_atom_site_fract_y
_atom_site_fract_z
Li1 0.0000 0.5000 0.0000
Dy1 0.0000 0.0000 0.0000
Sc1 0.0000 0.0000 0.5000
Sc2 0.0000 0.5000 0.5000
Se1 0.0000 0.0000 0.2473
Se2 0.0062 0.5031 0.2481
```

Properties
Its formation energy from raw total energies is -26.216 eV/f.u.


Record 3
A plane-wave DFT calculation with PBE was carried out for a geometry-optimized Li3DySc2Se6 structure.

Structure (CIF):
```
data_Li3DySc2Se6
_chemical_formula_sum 'Li6 Dy2 Sc4 Se12'
_cell_length_a 6.816
_cell_length_b 11.808
_cell_length_c 6.833
_cell_angle_alpha 90.00
_cell_angle_beta 109.47
_cell_angle_gamma 90.00
_symmetry_space_group_name_H-M 'C 1 2/m 1'
_symmetry_Int_Tables_number 12
_symmetry_space_group_name_Hall '-C 2y'
loop_
_atom_site_label
_atom_site_fract_x
_atom_site_fract_y
_atom_site_fract_z
Li1 0.000 0.000 0.000
Li2 0.000 0.334 0.000
Dy1 0.000 0.500 0.500
Sc1 0.000 0.167 0.500
Se1 0.237 0.000 0.747
Se2 0.245 0.173 0.254
```

Properties
Its formation energy from raw total energies is -19.508 eV/f.u.


Record 4
A plane-wave DFT calculation with PBE was carried out for a geometry-optimized Li4Dy3ScSe8 structure.

Structure (CIF):
```
data_Li4Dy3ScSe8
_chemical_formula_sum 'Li12 Dy9 Sc3 Se24'
_cell_length_a 8.0421
_cell_length_b 8.0421
_cell_length_c 19.4376
_cell_angle_alpha 90.00
_cell_angle_beta 90.00
_cell_angle_gamma 120.00
_symmetry_space_group_name_H-M 'R -3 m'
_symmetry_Int_Tables_number 166
_symmetry_space_group_name_Hall '-R 3 2"'
loop_
_atom_site_label
_atom_site_fract_x
_atom_site_fract_y
_atom_site_fract_z
Li1 0.0000 0.0000 0.0000
Li2 0.0000 0.5000 0.0000
Dy1 0.0000 0.5000 0.5000
Sc1 0.0000 0.0000 0.5000
Se1 0.0000 0.0000 0.2517
Se2 0.0108 0.5054 0.2496
```

Properties
Its formation energy from raw total energies is -26.658 eV/f.u.


Record 5
A plane-wave DFT calculation with PBE was carried out for a geometry-optimized LiDy2ScSe5 structure.

Structure (CIF):
```
data_LiDy2ScSe5
_chemical_formula_sum 'Li4 Dy8 Sc4 Se20'
_cell_length_a 3.996
_cell_length_b 16.784
_cell_length_c 12.073
_cell_angle_alpha 90.00
_cell_angle_beta 90.00
_cell_angle_gamma 90.00
_symmetry_space_group_name_H-M 'C m c 21'
_symmetry_Int_Tables_number 36
_symmetry_space_group_name_Hall 'C 2c -2'
loop_
_atom_site_label
_atom_site_fract_x
_atom_site_fract_y
_atom_site_fract_z
Li1 0.000 0.051 0.000
Dy1 0.000 0.371 0.837
Dy2 0.000 0.396 0.220
Sc1 0.000 0.301 0.548
Se1 0.000 0.003 0.317
Se2 0.000 0.138 0.536
Se3 0.000 0.191 0.891
Se4 0.000 0.220 0.202
Se5 0.000 0.447 0.608
```

Properties
Its formation energy from raw total energies is -14.886 eV/f.u.


Record 6
A plane-wave DFT calculation with PBE was carried out for a geometry-optimized Li3Dy3ScSe8 structure.

Structure (CIF):
```
data_Li3Dy3ScSe8
_chemical_formula_sum 'Li9 Dy9 Sc3 Se24'
_cell_length_a 8.0639
_cell_length_b 8.0639
_cell_length_c 19.3117
_cell_angle_alpha 90.00
_cell_angle_beta 90.00
_cell_angle_gamma 120.00
_symmetry_space_group_name_H-M 'R -3 m'
_symmetry_Int_Tables_number 166
_symmetry_space_group_name_Hall '-R 3 2"'
loop_
_atom_site_label
_atom_site_fract_x
_atom_site_fract_y
_atom_site_fract_z
Li1 0.0000 0.5000 0.0000
Dy1 0.0000 0.5000 0.5000
Sc1 0.0000 0.0000 0.5000
Se1 0.0000 0.0000 0.2524
Se2 0.0129 0.5065 0.2487
```

Properties
Its formation energy from raw total energies is -23.936 eV/f.u.


Record 7
A plane-wave DFT calculation with PBE was carried out for a geometry-optimized Li2DyScSe4 structure.

Structure (CIF):
```
data_Li2DyScSe4
_chemical_formula_sum 'Li2 Dy1 Sc1 Se4'
_cell_length_a 6.849
_cell_length_b 3.973
_cell_length_c 6.877
_cell_angle_alpha 90.00
_cell_angle_beta 109.52
_cell_angle_gamma 90.00
_symmetry_space_group_name_H-M 'P 1 2/m 1'
_symmetry_Int_Tables_number 10
_symmetry_space_group_name_Hall '-P 2y'
loop_
_atom_site_label
_atom_site_fract_x
_atom_site_fract_y
_atom_site_fract_z
Li1 0.000 0.000 0.000
Li2 0.000 0.500 0.500
Dy1 0.500 0.000 0.500
Sc1 0.500 0.500 0.000
Se1 0.249 0.500 0.239
Se2 0.255 0.000 0.762
```

Properties
Its formation energy from raw total energies is -13.108 eV/f.u.


Record 8
A plane-wave DFT calculation with PBE was carried out for a geometry-optimized LiDy2Sc3Se6 structure.

Structure (CIF):
```
data_LiDy2Sc3Se6
_chemical_formula_sum 'Li2 Dy4 Sc6 Se12'
_cell_length_a 6.817
_cell_length_b 11.821
_cell_length_c 6.861
_cell_angle_alpha 90.00
_cell_angle_beta 109.47
_cell_angle_gamma 90.00
_symmetry_space_group_name_H-M 'C 1 2/m 1'
_symmetry_Int_Tables_number 12
_symmetry_space_group_name_Hall '-C 2y'
loop_
_atom_site_label
_atom_site_fract_x
_atom_site_fract_y
_atom_site_fract_z
Li1 0.000 0.000 0.000
Dy1 0.000 0.335 0.000
Sc1 0.000 0.167 0.500
Sc2 0.000 0.500 0.500
Se1 0.236 0.000 0.744
Se2 0.248 0.162 0.259
```

Properties
Its formation energy from raw total energies is -20.000 eV/f.u.